[1]
Tb4Y9In11 after structural relaxation, computed with PBE-GGA.

Results
ΔH_f (0 K) in kJ per mole of atoms: -40.3
Energy in eV per atom: -4.8686
Calculated density in g/cm3: 6.87
DOS(E_F) in states/eV/f.u.: 19.23
Symmetry: Cmmm (65)

a = 3.509 Å, b = 14.109 Å, c = 14.109 Å
α = 111.05°, β = 90.00°, γ = 90.00°
Fractional positions:
Y 0.500 0.013 0.203
In 0.000 0.813 0.187
In 0.000 0.187 0.813
Y 0.500 0.203 0.013
In 0.000 0.794 0.794
Y 0.500 0.987 0.797
Tb 0.500 0.246 0.410
Tb 0.500 0.410 0.246
Y 0.500 0.500 0.500
Y 0.500 0.797 0.987
Tb 0.500 0.590 0.754
In 0.000 0.044 0.410
Tb 0.500 0.754 0.590
In 0.000 0.379 0.621
Y 0.500 0.613 0.164
In 0.000 0.410 0.044
Y 0.500 0.836 0.387
In 0.000 0.621 0.379
In 0.000 0.956 0.590
In 0.000 0.206 0.206
In 0.000 0.590 0.956
Y 0.500 0.164 0.613
Y 0.500 0.387 0.836
In 0.000 0.000 0.000

[2]
NbGa3Ru after structural relaxation, computed with PBE-GGA.

Results
ΔH_f (0 K) in kJ per mole of atoms: 51.2
Polymorph energy (0 for the lowest one) in eV/atom: 0.000
Energy in eV per atom: -5.1551
Calculated density in g/cm3: 6.63
DOS(E_F) in states/eV/f.u.: 3.18
Symmetry: Pm-3m (221)

a = 4.657 Å, b = 4.657 Å, c = 4.657 Å
α = 90.00°, β = 90.00°, γ = 90.00°
Site moments in Bohr magnetons follow the coordinates.
Fractional positions:
Ga 0.500 0.000 0.000  -0.02
Ru 0.000 0.000 0.000  0.22
Ga 0.000 0.500 0.000  -0.04
Nb 0.500 0.500 0.500  1.88
Ga 0.000 0.000 0.500  -0.06